No. 1
DFT (PBE) results for Li3ZnBi3 after structural relaxation.

abc: 7.6703 7.6703 7.0802
angles: 98.80 98.80 115.59
Closest atoms and distances in Å follow each position.
Element x y z (fractional)
Li 0.5768 0.5768 0.3574  1 Li 2.67, 1 Bi 2.75, 1 Zn 2.98
Li 0.1122 0.8878 0.5000  2 Zn 2.83, 1 Li 2.91, 4 Bi 2.98-3.08
Li 0.8878 0.1122 0.5000  2 Zn 2.83, 1 Li 2.91, 4 Bi 2.98-3.08
Li 0.1697 0.8303 0.0000  2 Zn 2.90, 4 Bi 3.01-3.06
Li 0.8303 0.1697 0.0000  2 Zn 2.90, 4 Bi 3.01-3.06
Li 0.4232 0.4232 0.6426  1 Li 2.67, 1 Bi 2.75, 1 Zn 2.98
Zn 0.8439 0.8439 0.7450  4 Bi 2.83-2.84, 5 Li 2.83-2.98
Zn 0.1561 0.1561 0.2550  4 Bi 2.83-2.84, 5 Li 2.83-2.98
Bi 0.7934 0.7934 0.1243  3 Li 2.75-3.06, 2 Zn 2.83-2.84
Bi 0.8714 0.4847 0.6643  1 Zn 2.83, 2 Li 2.98-3.01, 1 Bi 3.16
Bi 0.4847 0.8714 0.6643  1 Zn 2.83, 2 Li 2.98-3.01, 1 Bi 3.16
Bi 0.1286 0.5153 0.3357  1 Zn 2.83, 2 Li 2.98-3.01, 1 Bi 3.16
Bi 0.5153 0.1286 0.3357  1 Zn 2.83, 2 Li 2.98-3.01, 1 Bi 3.16
Bi 0.2066 0.2066 0.8757  3 Li 2.75-3.06, 2 Zn 2.83-2.84

## Properties
SG: C2/m (12)
DFT total energy in eV per atom: -2.852
E_form in eV per atom: -0.1864

No. 2
DFT (PBE) results for Ba2AgI after structural relaxation.

abc: 4.1753 4.1753 8.9889
angles: 90.00 90.00 90.00
Closest atoms and distances in Å follow each position.
Element x y z (fractional)
I 0.5000 0.5000 0.5000  8 Ba 3.88, 4 I 4.18
Ba 0.0000 0.0000 0.7798  4 Ag 3.55, 4 I 3.88, 1 Ba 3.96
Ba 0.0000 0.0000 0.2202  4 Ag 3.55, 4 I 3.88, 1 Ba 3.96
Ag 0.5000 0.5000 0.0000  8 Ba 3.55

## Properties
SG: P4/mmm (123)
Energy relative to the elements, uncorrected in kJ/mol of atoms: -70.6
DFT total energy in eV per atom: -2.794

No. 3
DFT (PBE) results for RbNa2TcBr8 after structural relaxation.

abc: 6.8668 6.1691 9.6632
angles: 89.83 89.98 92.71
Closest atoms and distances in Å follow each position.
Element x y z (fractional)
Rb 0.0000 0.0000 0.5000  8 Br 3.49-3.89
Na 0.4999 0.4986 0.7751  6 Br 2.98-3.07
Na 0.5001 0.5014 0.2249  6 Br 2.98-3.07
Tc 0.0000 0.0000 0.0000  6 Br 2.53-2.55
Br 0.1361 0.7654 0.1883  1 Tc 2.53
Br 0.6822 0.7701 0.9991  1 Tc 2.55
Br 0.8616 0.2327 0.1876  1 Tc 2.53
Br 0.8639 0.2346 0.8117  1 Tc 2.53
Br 0.3178 0.2299 0.0009  1 Tc 2.55
Br 0.1384 0.7673 0.8124  1 Tc 2.53
Br 0.5089 0.7500 0.5000  2 Na 3.07, 2 Br 3.08-3.09
Br 0.4911 0.2500 0.5000  2 Na 3.07, 2 Br 3.08-3.09

## Properties
SG: P-1 (2)
Energy relative to the elements, uncorrected in kJ/mol of atoms: -88.7
DFT total energy in eV per atom: -3.199

No. 4
DFT (PBE) results for AcGa3Tc after structural relaxation.

abc: 5.7471 6.5011 6.5011
angles: 120.00 90.00 90.00
Closest atoms and distances in Å follow each position.
Element x y z (fractional)
Ac 0.7500 0.3333 0.6667  12 Ga 3.26-3.29
Ac 0.2500 0.6667 0.3333  12 Ga 3.26-3.29
Ga 0.7500 0.8091 0.6182  2 Tc 2.59, 2 Ga 2.78
Ga 0.2500 0.1909 0.8091  2 Tc 2.59, 2 Ga 2.78
Ga 0.7500 0.3818 0.1909  2 Tc 2.59, 2 Ga 2.78
Ga 0.2500 0.6182 0.8091  2 Tc 2.59, 2 Ga 2.78
Ga 0.2500 0.1909 0.3818  2 Tc 2.59, 2 Ga 2.78
Ga 0.7500 0.8091 0.1909  2 Tc 2.59, 2 Ga 2.78
Tc 0.5000 0.0000 0.0000  6 Ga 2.59, 2 Tc 2.87
Tc 0.0000 0.0000 0.0000  6 Ga 2.59, 2 Tc 2.87

## Properties
SG: P6_3/mmc (194)
DFT total energy in eV per atom: -5.102
E_form in eV per atom: -0.3912